The following is a GGA-PBE calculation of a relaxed ErTaSe2 crystal, from Alexandria via LeMat-Bulk.

Symmetry ... R-3m, No. 166
Size of the total moment ... 0.00 μB/f.u.
Formation energy without anion corrections ... -592.0 meV per atom

Cell: 3.495 3.495 9.309 Å, 79.18 79.18 60.00°
Sites, in units of the cell vectors:
Er  0.000  0.000  0.000
Se  0.105  0.105  0.686
Se  0.895  0.895  0.314
Ta  0.500  0.500  0.500



The following is a GGA-PBE calculation of a relaxed ErTaSe crystal, from Alexandria via LeMat-Bulk.

Symmetry ... P4/nmm, No. 129
Size of the total moment ... 0.00 μB/f.u.
Formation energy without anion corrections ... -936.2 meV per atom

Cell: 3.831 3.831 8.991 Å, 90.00 90.00 90.00°
Sites, in units of the cell vectors:
Se  0.000  0.500  0.637
Se  0.500  0.000  0.363
Er  0.500  0.000  0.713
Er  0.000  0.500  0.287
Ta  0.000  0.500  0.944
Ta  0.500  0.000  0.056



The following is a GGA-PBE calculation of a relaxed Er2TaSe crystal, from Alexandria via LeMat-Bulk.

Symmetry ... R-3m, No. 166
Size of the total moment ... 0.44 μB/f.u.
Formation energy without anion corrections ... 16.7 meV per atom

Cell: 3.456 3.456 9.885 Å, 79.93 79.93 60.00°
Sites, in units of the cell vectors:
Er  0.100  0.100  0.700
Er  0.900  0.900  0.300
Se  0.500  0.500  0.500
Ta  0.000  0.000  0.000



The following is a GGA-PBE calculation of a relaxed ErTa2Se6 crystal, from Alexandria via LeMat-Bulk.

Symmetry ... C2/m, No. 12
Size of the total moment ... 0.98 μB/f.u.
Formation energy without anion corrections ... -810.4 meV per atom

Cell: 4.875 6.848 8.638 Å, 70.26 73.61 69.15°
Sites, in units of the cell vectors:
Er  0.000  0.500  0.500
Ta  0.178  0.764  0.881
Ta  0.822  0.236  0.119
Se  0.701  0.657  0.940
Se  0.299  0.343  0.060
Se  0.984  0.834  0.197
Se  0.351  0.701  0.597
Se  0.016  0.166  0.803
Se  0.649  0.299  0.403



The following is a GGA-PBE calculation of a relaxed TbEr2Se crystal, from Alexandria via LeMat-Bulk.

Energy above the lowest structure with this stoichiometry ... 0.124 eV/atom
Symmetry ... P4/mmm, No. 123
Size of the total moment ... 0.00 μB/f.u.
Formation energy without anion corrections ... -672.1 meV per atom

Cell: 3.588 3.588 8.411 Å, 90.00 90.00 90.00°
Sites, in units of the cell vectors:
Tb  0.500  0.500  0.500
Se  0.500  0.500  0.000
Er  0.000  0.000  0.791
Er  0.000  0.000  0.209



The following is a GGA-PBE calculation of a relaxed Tb2ErSe4 crystal, from Alexandria via LeMat-Bulk.

Energy above the lowest structure with this stoichiometry ... 0.053 eV/atom
Symmetry ... Cmcm, No. 63
Size of the total moment ... 0.00 μB/f.u.
Formation energy without anion corrections ... -1819.8 meV per atom

Cell: 3.952 7.034 13.826 Å, 90.00 90.00 106.32°
Sites, in units of the cell vectors:
Tb  0.130  0.260  0.430
Tb  0.870  0.740  0.930
Tb  0.130  0.260  0.070
Tb  0.870  0.740  0.570
Er  0.628  0.256  0.750
Er  0.372  0.744  0.250
Se  0.779  0.557  0.124
Se  0.779  0.557  0.376
Se  0.221  0.443  0.876
Se  0.221  0.443  0.624
Se  0.975  0.950  0.750
Se  0.025  0.050  0.250
Se  0.500  0.000  0.000
Se  0.500  0.000  0.500